## Sm2CdSe (GGA-PBE)

Data for Sm2CdSe after structural relaxation.

abc: 3.574 3.574 8.081
angles: 90.00 90.00 90.00
Positions (direct):
Se (0.500, 0.500, 0.000)
Sm (0.000, 0.000, 0.769)
Sm (0.000, 0.000, 0.231)
Cd (0.500, 0.500, 0.500)

Summary:
- Symmetry: P4/mmm
- Total moment: 0.00 μB/f.u.
- Energy relative to the elements, uncorrected: -0.860 eV per atom

## Sm5CdSe4 (GGA-PBE)

Data for Sm5CdSe4 after structural relaxation.

abc: 5.974 7.312 7.312
angles: 80.39 65.89 65.89
Positions (direct):
Sm (0.899, 0.410, 0.795)
Sm (0.308, 0.795, 0.590)
Sm (0.694, 0.205, 0.410)
Sm (0.103, 0.590, 0.205)
Sm (0.501, 0.000, 0.000)
Cd (0.001, 0.000, 0.000)
Se (0.400, 0.402, 0.801)
Se (0.802, 0.801, 0.598)
Se (0.200, 0.199, 0.402)
Se (0.602, 0.598, 0.199)

Summary:
- Symmetry: I4/m
- Total moment: 0.00 μB/f.u.
- Energy relative to the elements, uncorrected: -1.501 eV per atom

## Sm4CdSe3 (GGA-PBE)

Data for Sm4CdSe3 after structural relaxation.

abc: 4.163 7.380 7.380
angles: 108.72 90.00 90.00
Positions (direct):
Se (0.000, 0.000, 0.500)
Se (0.500, 0.500, 0.500)
Se (0.000, 0.500, 0.000)
Sm (0.000, 0.260, 0.260)
Sm (0.500, 0.746, 0.254)
Sm (0.000, 0.740, 0.740)
Sm (0.500, 0.254, 0.746)
Cd (0.500, 0.000, 0.000)

Summary:
- Symmetry: Cmmm
- Total moment: 0.00 μB/f.u.
- Energy relative to the elements, uncorrected: -1.398 eV per atom

## Sm2CdSe (GGA-PBE)

Data for Sm2CdSe after structural relaxation.

abc: 4.092 4.092 8.129
angles: 75.42 75.42 60.00
Positions (direct):
Se (0.000, 0.000, 0.000)
Sm (0.259, 0.259, 0.222)
Sm (0.741, 0.741, 0.778)
Cd (0.500, 0.500, 0.500)

Summary:
- Symmetry: R-3m
- Total moment: 0.00 μB/f.u.
- Energy relative to the elements, uncorrected: -1.006 eV per atom

## Sm3CdSe6 (GGA-PBE)

Data for Sm3CdSe6 after structural relaxation.

abc: 7.160 8.917 8.917
angles: 100.34 90.00 90.00
Positions (direct):
Sm (0.484, 0.917, 0.722)
Sm (0.984, 0.722, 0.917)
Sm (0.385, 0.401, 0.599)
Sm (0.885, 0.599, 0.401)
Sm (0.984, 0.083, 0.278)
Sm (0.484, 0.278, 0.083)
Cd (0.007, 0.206, 0.794)
Cd (0.507, 0.794, 0.206)
Se (0.183, 0.699, 0.626)
Se (0.683, 0.626, 0.699)
Se (0.215, 0.451, 0.908)
Se (0.715, 0.908, 0.451)
Se (0.188, 0.031, 0.969)
Se (0.643, 0.227, 0.773)
Se (0.143, 0.773, 0.227)
Se (0.688, 0.969, 0.031)
Se (0.215, 0.092, 0.549)
Se (0.715, 0.549, 0.092)
Se (0.183, 0.374, 0.301)
Se (0.683, 0.301, 0.374)

Summary:
- Symmetry: Cmc2_1
- Total moment: 0.00 μB/f.u.
- Energy relative to the elements, uncorrected: -1.457 eV per atom

## Sm4CdTe2Se (GGA-PBE)

Data for Sm4CdTe2Se after structural relaxation.

abc: 4.275 7.645 7.635
angles: 71.64 90.00 90.00
Positions (direct):
Sm (0.000, 0.741, 0.749)
Sm (0.000, 0.259, 0.251)
Sm (0.500, 0.731, 0.262)
Sm (0.500, 0.269, 0.738)
Cd (0.500, 0.500, 0.000)
Te (0.000, 0.000, 0.000)
Te (0.500, 0.000, 0.500)
Se (0.000, 0.500, 0.500)

Summary:
- Symmetry: P2/m
- Total moment: 0.00 μB/f.u.
- Energy relative to the elements, uncorrected: -1.197 eV per atom

## Cd2Sn2Se (GGA-PBE)

Data for Cd2Sn2Se after structural relaxation.

abc: 8.032 8.032 4.222
angles: 90.00 90.00 90.00
Positions (direct):
Sn (0.319, 0.819, 0.000)
Sn (0.819, 0.681, 0.000)
Sn (0.681, 0.181, 0.000)
Sn (0.181, 0.319, 0.000)
Se (0.000, 0.000, 0.000)
Se (0.500, 0.500, 0.000)
Cd (0.131, 0.631, 0.500)
Cd (0.631, 0.869, 0.500)
Cd (0.869, 0.369, 0.500)
Cd (0.369, 0.131, 0.500)

Summary:
- Symmetry: P4/mbm
- Total moment: 0.00 μB/f.u.
- Energy relative to the elements, uncorrected: 0.032 eV per atom

## Cd2Sn2Se (GGA-PBE)

Data for Cd2Sn2Se after structural relaxation.

abc: 7.436 7.436 4.789
angles: 90.00 90.00 90.00
Positions (direct):
Sn (0.156, 0.656, 0.500)
Sn (0.656, 0.844, 0.500)
Sn (0.844, 0.344, 0.500)
Sn (0.344, 0.156, 0.500)
Se (0.000, 0.000, 0.000)
Se (0.500, 0.500, 0.000)
Cd (0.360, 0.860, 0.000)
Cd (0.860, 0.640, 0.000)
Cd (0.640, 0.140, 0.000)
Cd (0.140, 0.360, 0.000)

Summary:
- Symmetry: P4/mbm
- Total moment: 0.00 μB/f.u.
- Energy relative to the elements, uncorrected: 0.066 eV per atom

Question: Among the records above, which one has the highest energy relative to the elements, uncorrected?
Answer: number 8

Question: total moment of number 4 (Sm2CdSe)?
Answer: 0.00 μB/f.u.

Question: Look up the energy relative to the elements, uncorrected of the eighth one.
Answer: 0.066 eV per atom